Entry 1:
A relaxed GaGeRh crystal, computed with PBE.

Calculated values
offset from the most stable computed form = 0.0 meV per atom
uncorrected energy = -5.40 eV/atom
size of the total moment = 0.0 Bohr magnetons per cell
DFT formation energy = -0.403 eV/atom
symmetry = Ima2 (46)

a = 5.0127 Å, b = 5.0127 Å, c = 5.0127 Å
α = 107.46°, β = 107.50°, γ = 113.53°
With the nearest neighbours (Å) after each atom.
Fractional coordinates of all 6 atoms:
Rh (0.0000, 0.6232, 0.6232)  4 Ge 2.62-2.63, 4 Ga 2.63, 2 Rh 2.75
Ge (0.9081, 0.7168, 0.1248)  1 Ga 2.62, 4 Rh 2.62-2.63
Ge (0.0919, 0.2168, 0.8087)  1 Ga 2.62, 4 Rh 2.62-2.63
Rh (0.5000, 0.1232, 0.6232)  4 Ge 2.62-2.63, 4 Ga 2.63, 2 Rh 2.75
Ga (0.5955, 0.0280, 0.1235)  1 Ge 2.62, 4 Rh 2.63
Ga (0.4045, 0.5280, 0.4325)  1 Ge 2.62, 4 Rh 2.63

---

Entry 2:
A relaxed Zn2NiB2Rh5 crystal, computed with PBE.

Calculated values
uncorrected energy = -6.13 eV/atom
size of the total moment = 2.0 Bohr magnetons per cell
DFT formation energy = -0.284 eV/atom
symmetry = P4/mbm (127)

a = 2.8539 Å, b = 9.3609 Å, c = 9.3609 Å
α = 90.00°, β = 90.00°, γ = 90.00°
With the nearest neighbours (Å) after each atom.
Fractional coordinates of all 20 atoms:
B (0.0000, 0.8722, 0.3722)  6 Rh 2.12-2.21
Rh (0.5000, 0.4276, 0.2863)  2 B 2.12
B (0.0000, 0.6278, 0.8722)  6 Rh 2.12-2.21
Rh (0.5000, 0.7137, 0.4276)  2 B 2.12
B (0.0000, 0.3722, 0.1278)  6 Rh 2.12-2.21
Zn (0.0000, 0.3229, 0.8229)  3 B 2.58-2.89, 6 Rh 2.74-2.77, 2 Zn 2.85
Rh (0.5000, 0.2863, 0.5724)  2 B 2.12
Rh (0.5000, 0.0724, 0.7863)  2 B 2.12
Rh (0.5000, 0.5000, 0.0000)  4 B 2.21
Ni (0.0000, 0.0000, 0.0000)  8 Rh 2.55, 2 Ni 2.85
Zn (0.0000, 0.6771, 0.1771)  3 B 2.58-2.89, 6 Rh 2.74-2.77, 2 Zn 2.85
Zn (0.0000, 0.8229, 0.6771)  3 B 2.58-2.89, 6 Rh 2.74-2.77, 2 Zn 2.85
B (0.0000, 0.1278, 0.6278)  6 Rh 2.12-2.21
Rh (0.5000, 0.0000, 0.5000)  4 B 2.21
Ni (0.0000, 0.5000, 0.5000)  8 Rh 2.55, 2 Ni 2.85
Rh (0.5000, 0.7863, 0.9276)  2 B 2.12
Rh (0.5000, 0.9276, 0.2137)  2 B 2.12
Zn (0.0000, 0.1771, 0.3229)  3 B 2.58-2.89, 6 Rh 2.74-2.77, 2 Zn 2.85
Rh (0.5000, 0.5724, 0.7137)  2 B 2.12
Rh (0.5000, 0.2137, 0.0724)  2 B 2.12

---

Entry 3:
A relaxed CaAc2YO6 crystal, computed with PBE.

Calculated values
uncorrected energy = -7.71 eV/atom
size of the total moment = 2.1 Bohr magnetons per cell
formation energy without anion corrections = -295.9 kJ per mole of atoms
symmetry = P2_1/c (14)

a = 6.0489 Å, b = 6.2501 Å, c = 8.7258 Å
α = 90.00°, β = 90.56°, γ = 90.00°
With the nearest neighbours (Å) after each atom.
Fractional coordinates of all 20 atoms:
Ca (0.5000, 0.0000, 0.5000)  6 O 2.34-2.41
Ac (0.5192, 0.5537, 0.7466)  4 O 2.46-2.54
O (0.1971, 0.1898, 0.0640)  1 Y 2.26, 1 Ca 2.34, 1 Ac 2.46
Y (0.0000, 0.5000, 0.5000)  6 O 2.26-2.30
O (0.6284, 0.0669, 0.2441)  1 Y 2.30, 1 Ca 2.41, 2 Ac 2.48-2.54
O (0.6971, 0.3102, 0.5640)  1 Y 2.26, 1 Ca 2.34, 1 Ac 2.46
O (0.3091, 0.7030, 0.0750)  1 Y 2.29, 1 Ca 2.35, 1 Ac 2.46
O (0.1909, 0.2030, 0.4250)  1 Y 2.29, 1 Ca 2.35, 1 Ac 2.46
Ac (0.4808, 0.4463, 0.2534)  4 O 2.46-2.54
O (0.8716, 0.5669, 0.2559)  1 Y 2.30, 1 Ca 2.41, 2 Ac 2.48-2.54
O (0.3716, 0.9331, 0.7559)  1 Y 2.30, 1 Ca 2.41, 2 Ac 2.48-2.54
O (0.8091, 0.7970, 0.5750)  1 Y 2.29, 1 Ca 2.35, 1 Ac 2.46
O (0.8029, 0.8102, 0.9360)  1 Y 2.26, 1 Ca 2.34, 1 Ac 2.46
O (0.6909, 0.2970, 0.9250)  1 Y 2.29, 1 Ca 2.35, 1 Ac 2.46
Y (0.5000, 0.0000, 0.0000)  6 O 2.26-2.30
Ca (0.0000, 0.5000, 0.0000)  6 O 2.34-2.41
Ac (0.0192, 0.9463, 0.2466)  4 O 2.46-2.54
O (0.3029, 0.6898, 0.4360)  1 Y 2.26, 1 Ca 2.34, 1 Ac 2.46
O (0.1284, 0.4331, 0.7441)  1 Y 2.30, 1 Ca 2.41, 2 Ac 2.48-2.54
Ac (0.9808, 0.0537, 0.7534)  4 O 2.46-2.54